Here is a relaxed LiHf3Bi crystal from Alexandria via LeMat-Bulk. Energies are from GGA-PBE.

Raw total energy in eV per formula unit: -33.00
Energy of formation from the pure elements in eV/atom: 0.5307
Mass density in g cm⁻³: 11.5
Spin magnetization in μB/f.u.: 0.000

CIF file:
```
data_LiHf3Bi
_chemical_formula_sum 'Li1 Hf3 Bi1'
_symmetry_space_group_name_H-M 'P m -3 m'
_symmetry_Int_Tables_number 221
_symmetry_space_group_name_Hall '-P 4 2 3'
_cell_length_a 4.7675
_cell_length_b 4.7675
_cell_length_c 4.7675
_cell_angle_alpha 90.00
_cell_angle_beta 90.00
_cell_angle_gamma 90.00
loop_
_atom_site_label
_atom_site_type_symbol
_atom_site_fract_x
_atom_site_fract_y
_atom_site_fract_z
_atom_site_occupancy
Li1 Li 0.0000 0.0000 0.0000 1
Hf1 Hf 0.0000 0.0000 0.5000 1
Bi1 Bi 0.5000 0.5000 0.5000 1
```

Here is a relaxed Li2HfBi2 crystal from Alexandria via LeMat-Bulk. Energies are from GGA-PBE.

Raw total energy in eV per formula unit: -22.37
Energy of formation from the pure elements in eV/atom: -0.1659
Mass density in g cm⁻³: 8.9
Spin magnetization in μB/f.u.: 0.000

CIF file:
```
data_Li2HfBi2
_chemical_formula_sum 'Li4 Hf2 Bi4'
_symmetry_space_group_name_H-M 'P 4/m b m'
_symmetry_Int_Tables_number 127
_symmetry_space_group_name_Hall '-P 4 2ab'
_cell_length_a 8.2121
_cell_length_b 8.2121
_cell_length_c 3.3810
_cell_angle_alpha 90.00
_cell_angle_beta 90.00
_cell_angle_gamma 90.00
loop_
_atom_site_label
_atom_site_type_symbol
_atom_site_fract_x
_atom_site_fract_y
_atom_site_fract_z
_atom_site_occupancy
Li1 Li 0.1274 0.3726 0.0000 1
Hf1 Hf 0.0000 0.0000 0.5000 1
Bi1 Bi 0.1726 0.6726 0.5000 1
```

Please write out number 1 again, unchanged.
Here is a relaxed LiHf3Bi crystal from Alexandria via LeMat-Bulk. Energies are from GGA-PBE.

Raw total energy in eV per formula unit: -33.00
Energy of formation from the pure elements in eV/atom: 0.5307
Mass density in g cm⁻³: 11.5
Spin magnetization in μB/f.u.: 0.000

CIF file:
```
data_LiHf3Bi
_chemical_formula_sum 'Li1 Hf3 Bi1'
_symmetry_space_group_name_H-M 'P m -3 m'
_symmetry_Int_Tables_number 221
_symmetry_space_group_name_Hall '-P 4 2 3'
_cell_length_a 4.7675
_cell_length_b 4.7675
_cell_length_c 4.7675
_cell_angle_alpha 90.00
_cell_angle_beta 90.00
_cell_angle_gamma 90.00
loop_
_atom_site_label
_atom_site_type_symbol
_atom_site_fract_x
_atom_site_fract_y
_atom_site_fract_z
_atom_site_occupancy
Li1 Li 0.0000 0.0000 0.0000 1
Hf1 Hf 0.0000 0.0000 0.5000 1
Bi1 Bi 0.5000 0.5000 0.5000 1
```

> energy of formation from the pure elements of number 1 (LiHf3Bi)?

0.5307 eV/atom

> Number 1 is which compound?

LiHf3Bi